Record 1
Material: HfPtI2O
Method: DFT, GGA-PBEsol
State: optimized geometry

Summary:
Total moment: 0.894 μB/f.u.
Formation energy (no corrections): 0.294 eV/atom

Cell: 5.5611 5.5611 3.7213 Å, 90.00 90.00 90.00°
Fractional positions:
Hf1 0.0000 0.0000 0.0000
Pt1 0.5000 0.5000 0.5000
I1 0.0000 0.5000 0.5000
I2 0.5000 0.0000 0.5000
O1 0.5000 0.5000 0.0000

Record 2
Material: ReSi2Sb
Method: DFT, GGA-PBEsol
State: optimized geometry

Summary:
Total moment: 0.000 μB/f.u.
Formation energy (no corrections): 0.537 eV/atom

Cell: 3.1037 4.9744 8.9609 Å, 90.00 90.00 90.00°
Fractional positions:
Re1 0.0000 0.0000 0.0000
Re2 0.5000 0.5000 0.0000
Si1 0.0000 0.0000 0.5788
Si2 0.0000 0.5000 0.7956
Si3 0.5000 0.0000 0.7956
Si4 0.5000 0.5000 0.5788
Sb1 0.0000 0.5000 0.2644
Sb2 0.5000 0.0000 0.2644

Record 3
Material: BBr2Cl
Method: DFT, GGA-PBEsol
State: optimized geometry

Summary:
Total moment: 0.004 μB/f.u.
Formation energy (no corrections): 0.584 eV/atom

Cell: 3.2603 3.2603 27.5828 Å, 90.00 90.00 120.00°
Fractional positions:
B1 0.0000 0.0000 0.0000
B2 0.3333 0.6667 0.6667
B3 0.6667 0.3333 0.3333
Br1 0.0000 0.0000 0.3827
Br2 0.0000 0.0000 0.6173
Br3 0.3333 0.6667 0.0494
Br4 0.3333 0.6667 0.2839
Br5 0.6667 0.3333 0.7161
Br6 0.6667 0.3333 0.9506
Cl1 0.0000 0.0000 0.5000
Cl2 0.3333 0.6667 0.1667
Cl3 0.6667 0.3333 0.8333

Record 4
Material: TbDyIn2
Method: DFT, GGA-PBEsol
State: optimized geometry

Summary:
Total moment: 0.000 μB/f.u.
Energy relative to the elements: -0.52 eV/atom

Cell: 7.3932 7.3932 7.3932 Å, 90.00 90.00 90.00°
Fractional positions:
Tb1 0.0000 0.0000 0.0000
Tb2 0.0000 0.5000 0.5000
Tb3 0.5000 0.0000 0.5000
Tb4 0.5000 0.5000 0.0000
Dy1 0.0000 0.0000 0.5000
Dy2 0.0000 0.5000 0.0000
Dy3 0.5000 0.0000 0.0000
Dy4 0.5000 0.5000 0.5000
In1 0.2500 0.2500 0.2500
In2 0.2500 0.2500 0.7500
In3 0.2500 0.7500 0.2500
In4 0.2500 0.7500 0.7500
In5 0.7500 0.2500 0.2500
In6 0.7500 0.2500 0.7500
In7 0.7500 0.7500 0.2500
In8 0.7500 0.7500 0.7500

Record 5
Material: SrCa2Zn
Method: DFT, GGA-PBEsol
State: optimized geometry

Summary:
Total moment: 0.001 μB/f.u.
Energy relative to the elements: -0.06 eV/atom

Cell: 3.8275 5.9032 12.1399 Å, 90.00 90.00 90.00°
Fractional positions:
Sr1 0.0000 0.0000 0.0000
Sr2 0.5000 0.5000 0.5000
Ca1 0.0000 0.5000 0.1966
Ca2 0.0000 0.5000 0.8034
Ca3 0.5000 0.0000 0.3034
Ca4 0.5000 0.0000 0.6966
Zn1 0.0000 0.0000 0.5000
Zn2 0.5000 0.5000 0.0000

Record 6
Material: Te2RuSN
Method: DFT, GGA-PBEsol
State: optimized geometry

Summary:
Total moment: 0.000 μB/f.u.
Formation energy (no corrections): 0.415 eV/atom

Cell: 5.3000 5.3000 3.5935 Å, 90.00 90.00 90.00°
Fractional positions:
Te1 0.0000 0.5000 0.0000
Te2 0.5000 0.0000 0.0000
Ru1 0.0000 0.0000 0.0000
S1 0.5000 0.5000 0.5000
N1 0.0000 0.0000 0.5000

Record 7
Material: CuSF2
Method: DFT, GGA-PBEsol
State: optimized geometry

Summary:
Total moment: 0.002 μB/f.u.
Formation energy (no corrections): -0.084 eV/atom

Cell: 5.6541 5.6541 5.6541 Å, 90.00 90.00 90.00°
Fractional positions:
Cu1 0.0000 0.0000 0.0000
Cu2 0.0000 0.5000 0.5000
Cu3 0.5000 0.0000 0.5000
Cu4 0.5000 0.5000 0.0000
S1 0.0000 0.0000 0.5000
S2 0.0000 0.5000 0.0000
S3 0.5000 0.0000 0.0000
S4 0.5000 0.5000 0.5000
F1 0.2500 0.2500 0.2500
F2 0.2500 0.2500 0.7500
F3 0.2500 0.7500 0.2500
F4 0.2500 0.7500 0.7500
F5 0.7500 0.2500 0.2500
F6 0.7500 0.2500 0.7500
F7 0.7500 0.7500 0.2500
F8 0.7500 0.7500 0.7500

Record 8
Material: CuBiP2Se6
Method: DFT, GGA-PBEsol
State: optimized geometry

Summary:
Total moment: 0.000 μB/f.u.
Formation energy (no corrections): -0.146 eV/atom

Cell: 26.9576 26.9576 26.9576 Å, 13.86 13.86 13.86°
Fractional positions:
Cu1 0.0435 0.0435 0.0435
Cu2 0.1407 0.1407 0.1407
Cu3 0.8593 0.8593 0.8593
Cu4 0.9565 0.9565 0.9565
Bi1 0.2924 0.2924 0.2924
Bi2 0.4542 0.4542 0.4542
Bi3 0.5458 0.5458 0.5458
Bi4 0.7076 0.7076 0.7076
P1 0.1955 0.1955 0.1955
P2 0.2238 0.2238 0.2238
P3 0.3604 0.3604 0.3604
P4 0.3886 0.3886 0.3886
P5 0.6114 0.6114 0.6114
P6 0.6396 0.6396 0.6396
P7 0.7762 0.7762 0.7762
P8 0.8045 0.8045 0.8045
Se1 0.0528 0.3027 0.7051
Se2 0.0592 0.4141 0.8355
Se3 0.0875 0.7383 0.3632
Se4 0.1465 0.7956 0.4992
Se5 0.1645 0.9408 0.5859
Se6 0.2044 0.5008 0.8535
Se7 0.2617 0.6368 0.9125
Se8 0.2949 0.9472 0.6973
Se9 0.3027 0.7051 0.0528
Se10 0.3632 0.0875 0.7383
Se11 0.4141 0.8355 0.0592
Se12 0.4992 0.1465 0.7956
Se13 0.5008 0.8535 0.2044
Se14 0.5859 0.1645 0.9408
Se15 0.6368 0.9125 0.2617
Se16 0.6973 0.2949 0.9472
Se17 0.7051 0.0528 0.3027
Se18 0.7383 0.3632 0.0875
Se19 0.7956 0.4992 0.1465
Se20 0.8355 0.0592 0.4141
Se21 0.8535 0.2044 0.5008
Se22 0.9125 0.2617 0.6368
Se23 0.9408 0.5859 0.1645
Se24 0.9472 0.6973 0.2949